Compound: Li3V2O4F2
Source: the Alexandria database
Functional: PBE+U
Structure: relaxed

Summary:
* ΔE to the lowest computed polymorph: 0.005 eV per atom
* theoretical density: 3.21 g/cm3
* energy: -6.37 eV per atom
* crystal system: triclinic

Cell lengths 5.9163, 5.9195, 7.7762 Å; angles 85.21, 73.83, 62.77 degrees
With the nearest neighbours (Å) after each atom.
Space group P-1 (No. 2)
Asymmetric unit:
Li: 0.0982 0.4343 0.1473 (multiplicity 2)  3 F 1.91-1.95, 1 O 2.01
Li: 0.3249 0.0504 0.8961 (multiplicity 2)  2 F 1.86-1.90
Li: 0.3836 0.5668 0.8694 (multiplicity 2)  3 F 1.89-2.00, 1 O 2.12
V: 0.2490 0.2480 0.5014 (multiplicity 2)  6 O 1.86-2.04
V: 0.2515 0.7507 0.4975 (multiplicity 2)  6 O 2.01-2.08
O: 0.1397 0.5640 0.3614 (multiplicity 2)  3 V 2.01-2.04, 1 Li 2.01
O: 0.1435 0.0863 0.3679 (multiplicity 2)  3 V 1.86-2.06
O: 0.3509 0.4240 0.6418 (multiplicity 2)  3 V 1.94-2.08, 1 Li 2.12
O: 0.3697 0.9270 0.6405 (multiplicity 2)  3 V 2.01-2.03, 1 Li 2.08
F: 0.0202 0.7187 0.9924 (multiplicity 2)  4 Li 1.86-1.94
F: 0.4687 0.2633 0.0135 (multiplicity 2)  4 Li 1.90-2.00